This record from Alexandria via LeMat-Bulk describes a geometry-optimized PmThGeSe structure. The functional is PBE.

Values from the calculation:
For the density, the calculation gives 8.02 g/cm³. The calculation puts the density of states at the Fermi level at 0.503 states/eV/atom. The value obtained for the energy relative to the elements, uncorrected is -1.322 eV per atom.

a b c (Å): 4.2767 4.2767 7.3368
angles (deg): 73.06 73.06 60.00
Last column: nearest neighbours and their distance in Å.
Fractional coordinates of all 4 atoms:
Ge: 0.4444 0.4444 0.6667  3 Th 2.97, 3 Pm 2.98
Pm: 0.6976 0.6976 0.9073  3 Ge 2.98, 3 Se 3.06
Th: 0.1904 0.1904 0.4289  3 Ge 2.97, 3 Se 3.06
Se: 0.9441 0.9441 0.1678  3 Pm 3.06, 3 Th 3.06